#P
First-principles (PBE-GGA) data for crystalline IrPbI2N at its relaxed geometry, as listed in the Alexandria database.

Computed properties:
**M_tot**: 3.000 μB per cell

a b c (Å): 6.0423 6.0423 4.1714
angles (deg): 90.00 90.00 90.00
Space group P4/mmm (No. 123)
Symmetry-distinct sites (fractional):
Ir 0.0000 0.0000 0.0000 [1 per cell]
Pb 0.5000 0.5000 0.5000 [1 per cell]
I 0.0000 0.5000 0.5000 [2 per cell]
N 0.5000 0.5000 0.0000 [1 per cell]

#Q
First-principles (PBE-GGA) data for crystalline IrPbI2N at its relaxed geometry, as listed in the Alexandria database.

Computed properties:
**M_tot**: 0.000 μB per cell

a b c (Å): 5.8296 5.8296 3.7722
angles (deg): 90.00 90.00 90.00
Space group P4/mmm (No. 123)
Symmetry-distinct sites (fractional):
Ir 0.0000 0.0000 0.0000 [1 per cell]
Pb 0.5000 0.5000 0.5000 [1 per cell]
I 0.0000 0.5000 0.0000 [2 per cell]
N 0.0000 0.0000 0.5000 [1 per cell]

Least stable of them? #P.

#P
First-principles (PBE-GGA) data for crystalline IrPtI2N at its relaxed geometry, as listed in the Alexandria database.

Computed properties:
**M_tot**: 0.000 μB per cell

a b c (Å): 5.5427 5.5427 3.6621
angles (deg): 90.00 90.00 90.00
Space group P4/mmm (No. 123)
Symmetry-distinct sites (fractional):
Ir 0.0000 0.0000 0.0000 [1 per cell]
Pt 0.5000 0.5000 0.5000 [1 per cell]
I 0.0000 0.5000 0.0000 [2 per cell]
N 0.0000 0.0000 0.5000 [1 per cell]

#Q
First-principles (PBE-GGA) data for crystalline IrPtI2N at its relaxed geometry, as listed in the Alexandria database.

Computed properties:
**M_tot**: 0.000 μB per cell

a b c (Å): 5.5550 5.5550 3.6539
angles (deg): 90.00 90.00 90.00
Space group P4/mmm (No. 123)
Symmetry-distinct sites (fractional):
Ir 0.0000 0.0000 0.0000 [1 per cell]
Pt 0.5000 0.5000 0.5000 [1 per cell]
I 0.0000 0.5000 0.5000 [2 per cell]
N 0.5000 0.5000 0.0000 [1 per cell]

Least stable of them? #Q.

#P
First-principles (PBE-GGA) data for crystalline RbIrI2N at its relaxed geometry, as listed in the Alexandria database.

Computed properties:
**M_tot**: 0.000 μB per cell

a b c (Å): 5.9745 5.9745 3.7781
angles (deg): 90.00 90.00 90.00
Space group P4/mmm (No. 123)
Symmetry-distinct sites (fractional):
Rb 0.0000 0.0000 0.0000 [1 per cell]
Ir 0.5000 0.5000 0.5000 [1 per cell]
I 0.0000 0.5000 0.5000 [2 per cell]
N 0.5000 0.5000 0.0000 [1 per cell]

#Q
First-principles (PBE-GGA) data for crystalline RbIrI2N at its relaxed geometry, as listed in the Alexandria database.

Computed properties:
**M_tot**: 6.441 μB per cell

a b c (Å): 6.8162 6.8162 5.4957
angles (deg): 90.00 90.00 90.00
Space group P4/mmm (No. 123)
Symmetry-distinct sites (fractional):
Rb 0.0000 0.0000 0.0000 [1 per cell]
Ir 0.5000 0.5000 0.5000 [1 per cell]
I 0.0000 0.5000 0.0000 [2 per cell]
N 0.0000 0.0000 0.5000 [1 per cell]

Least stable of them? #Q.

#P
First-principles (PBE-GGA) data for crystalline RbIrIN2 at its relaxed geometry, as listed in the Alexandria database.

Computed properties:
**M_tot**: 0.098 μB per cell

a b c (Å): 4.1480 4.1480 5.8922
angles (deg): 90.00 90.00 90.00
Space group P4/mmm (No. 123)
Symmetry-distinct sites (fractional):
Rb 0.0000 0.0000 0.0000 [1 per cell]
Ir 0.5000 0.5000 0.5000 [1 per cell]
I 0.5000 0.5000 0.0000 [1 per cell]
N 0.0000 0.5000 0.5000 [2 per cell]

#Q
First-principles (PBE-GGA) data for crystalline RbIrIN2 at its relaxed geometry, as listed in the Alexandria database.

Computed properties:
**M_tot**: 7.470 μB per cell

a b c (Å): 5.0846 5.0846 7.3027
angles (deg): 90.00 90.00 90.00
Space group P4/mmm (No. 123)
Symmetry-distinct sites (fractional):
Rb 0.0000 0.0000 0.0000 [1 per cell]
Ir 0.5000 0.5000 0.5000 [1 per cell]
I 0.0000 0.0000 0.5000 [1 per cell]
N 0.0000 0.5000 0.0000 [2 per cell]

Least stable of them? #Q.

#P
First-principles (PBE-GGA) data for crystalline IrRuIN2 at its relaxed geometry, as listed in the Alexandria database.

Computed properties:
**M_tot**: 2.146 μB per cell

a b c (Å): 3.7607 3.7607 7.9836
angles (deg): 90.00 90.00 90.00
Space group P4/mmm (No. 123)
Symmetry-distinct sites (fractional):
Ir 0.0000 0.0000 0.0000 [1 per cell]
Ru 0.5000 0.5000 0.5000 [1 per cell]
I 0.0000 0.0000 0.5000 [1 per cell]
N 0.0000 0.5000 0.0000 [2 per cell]

#Q
First-principles (PBE-GGA) data for crystalline IrRuIN2 at its relaxed geometry, as listed in the Alexandria database.

Computed properties:
**M_tot**: 1.259 μB per cell

a b c (Å): 3.7892 3.7892 6.0011
angles (deg): 90.00 90.00 90.00
Space group P4/mmm (No. 123)
Symmetry-distinct sites (fractional):
Ir 0.0000 0.0000 0.0000 [1 per cell]
Ru 0.5000 0.5000 0.5000 [1 per cell]
I 0.5000 0.5000 0.0000 [1 per cell]
N 0.0000 0.5000 0.5000 [2 per cell]

Least stable of them? #Q.

#P
First-principles (PBE-GGA) data for crystalline IrSIN2 at its relaxed geometry, as listed in the Alexandria database.

Computed properties:
**M_tot**: 1.146 μB per cell

a b c (Å): 3.8168 3.8168 5.9462
angles (deg): 90.00 90.00 90.00
Space group P4/mmm (No. 123)
Symmetry-distinct sites (fractional):
Ir 0.0000 0.0000 0.0000 [1 per cell]
S 0.5000 0.5000 0.0000 [1 per cell]
I 0.5000 0.5000 0.5000 [1 per cell]
N 0.0000 0.5000 0.5000 [2 per cell]

#Q
First-principles (PBE-GGA) data for crystalline IrSIN2 at its relaxed geometry, as listed in the Alexandria database.

Computed properties:
**M_tot**: 0.358 μB per cell

a b c (Å): 3.7759 3.7759 8.6458
angles (deg): 90.00 90.00 90.00
Space group P4/mmm (No. 123)
Symmetry-distinct sites (fractional):
Ir 0.0000 0.0000 0.0000 [1 per cell]
S 0.5000 0.5000 0.5000 [1 per cell]
I 0.0000 0.0000 0.5000 [1 per cell]
N 0.0000 0.5000 0.0000 [2 per cell]

Least stable of them? #P.

#P
First-principles (PBE-GGA) data for crystalline IrSIN2 at its relaxed geometry, as listed in the Alexandria database.

Computed properties:
**M_tot**: 0.415 μB per cell

a b c (Å): 3.8276 3.8276 5.8941
angles (deg): 90.00 90.00 90.00
Space group P4/mmm (No. 123)
Symmetry-distinct sites (fractional):
Ir 0.0000 0.0000 0.0000 [1 per cell]
S 0.0000 0.0000 0.5000 [1 per cell]
I 0.5000 0.5000 0.5000 [1 per cell]
N 0.0000 0.5000 0.0000 [2 per cell]

#Q
First-principles (PBE-GGA) data for crystalline IrSIN2 at its relaxed geometry, as listed in the Alexandria database.

Computed properties:
**M_tot**: 0.421 μB per cell

a b c (Å): 3.5987 3.5987 8.2576
angles (deg): 90.00 90.00 90.00
Space group P4/mmm (No. 123)
Symmetry-distinct sites (fractional):
Ir 0.0000 0.0000 0.0000 [1 per cell]
S 0.5000 0.5000 0.5000 [1 per cell]
I 0.5000 0.5000 0.0000 [1 per cell]
N 0.0000 0.5000 0.5000 [2 per cell]

Least stable of them? #Q.

#P
First-principles (PBE-GGA) data for crystalline IrS2IN at its relaxed geometry, as listed in the Alexandria database.

Computed properties:
**M_tot**: 0.000 μB per cell

a b c (Å): 4.9948 4.9948 3.7022
angles (deg): 90.00 90.00 90.00
Space group P4/mmm (No. 123)
Symmetry-distinct sites (fractional):
Ir 0.0000 0.0000 0.0000 [1 per cell]
S 0.0000 0.5000 0.0000 [2 per cell]
I 0.5000 0.5000 0.5000 [1 per cell]
N 0.0000 0.0000 0.5000 [1 per cell]

#Q
First-principles (PBE-GGA) data for crystalline IrS2IN at its relaxed geometry, as listed in the Alexandria database.

Computed properties:
**M_tot**: 0.391 μB per cell

a b c (Å): 5.0982 5.0982 3.7768
angles (deg): 90.00 90.00 90.00
Space group P4/mmm (No. 123)
Symmetry-distinct sites (fractional):
Ir 0.0000 0.0000 0.0000 [1 per cell]
S 0.0000 0.5000 0.5000 [2 per cell]
I 0.5000 0.5000 0.5000 [1 per cell]
N 0.5000 0.5000 0.0000 [1 per cell]

Least stable of them? #Q.

#P
First-principles (PBE-GGA) data for crystalline IrSeIN2 at its relaxed geometry, as listed in the Alexandria database.

Computed properties:
**M_tot**: 1.306 μB per cell

a b c (Å): 3.8451 3.8451 6.5766
angles (deg): 90.00 90.00 90.00
Space group P4/mmm (No. 123)
Symmetry-distinct sites (fractional):
Ir 0.0000 0.0000 0.0000 [1 per cell]
Se 0.5000 0.5000 0.0000 [1 per cell]
I 0.5000 0.5000 0.5000 [1 per cell]
N 0.0000 0.5000 0.5000 [2 per cell]

#Q
First-principles (PBE-GGA) data for crystalline IrSeIN2 at its relaxed geometry, as listed in the Alexandria database.

Computed properties:
**M_tot**: 0.356 μB per cell

a b c (Å): 3.8338 3.8338 8.5438
angles (deg): 90.00 90.00 90.00
Space group P4/mmm (No. 123)
Symmetry-distinct sites (fractional):
Ir 0.0000 0.0000 0.0000 [1 per cell]
Se 0.5000 0.5000 0.5000 [1 per cell]
I 0.0000 0.0000 0.5000 [1 per cell]
N 0.0000 0.5000 0.0000 [2 per cell]

#R
First-principles (PBE-GGA) data for crystalline IrSeIN2 at its relaxed geometry, as listed in the Alexandria database.

Computed properties:
**M_tot**: 0.000 μB per cell

a b c (Å): 3.7262 3.7262 8.7793
angles (deg): 90.00 90.00 90.00
Space group P4/mmm (No. 123)
Symmetry-distinct sites (fractional):
Ir 0.0000 0.0000 0.0000 [1 per cell]
Se 0.5000 0.5000 0.5000 [1 per cell]
I 0.5000 0.5000 0.0000 [1 per cell]
N 0.0000 0.5000 0.5000 [2 per cell]

#S
First-principles (PBE-GGA) data for crystalline IrSeIN2 at its relaxed geometry, as listed in the Alexandria database.

Computed properties:
**M_tot**: 0.323 μB per cell

a b c (Å): 3.8893 3.8893 5.9039
angles (deg): 90.00 90.00 90.00
Space group P4/mmm (No. 123)
Symmetry-distinct sites (fractional):
Ir 0.0000 0.0000 0.0000 [1 per cell]
Se 0.0000 0.0000 0.5000 [1 per cell]
I 0.5000 0.5000 0.5000 [1 per cell]
N 0.0000 0.5000 0.0000 [2 per cell]

Least stable of them? #P.

#P
First-principles (PBE-GGA) data for crystalline SnIrIN2 at its relaxed geometry, as listed in the Alexandria database.

Computed properties:
**M_tot**: 0.390 μB per cell

a b c (Å): 3.9535 3.9535 7.6168
angles (deg): 90.00 90.00 90.00
Space group P4/mmm (No. 123)
Symmetry-distinct sites (fractional):
Sn 0.0000 0.0000 0.0000 [1 per cell]
Ir 0.5000 0.5000 0.5000 [1 per cell]
I 0.5000 0.5000 0.0000 [1 per cell]
N 0.0000 0.5000 0.5000 [2 per cell]

#Q
First-principles (PBE-GGA) data for crystalline SnIrIN2 at its relaxed geometry, as listed in the Alexandria database.

Computed properties:
**M_tot**: 3.405 μB per cell

a b c (Å): 4.0126 4.0126 6.7316
angles (deg): 90.00 90.00 90.00
Space group P4/mmm (No. 123)
Symmetry-distinct sites (fractional):
Sn 0.0000 0.0000 0.0000 [1 per cell]
Ir 0.5000 0.5000 0.5000 [1 per cell]
I 0.0000 0.0000 0.5000 [1 per cell]
N 0.0000 0.5000 0.0000 [2 per cell]

Least stable of them? #Q.

#P
First-principles (PBE-GGA) data for crystalline TaIrIN2 at its relaxed geometry, as listed in the Alexandria database.

Computed properties:
**M_tot**: 1.774 μB per cell

a b c (Å): 3.9664 3.9664 6.0432
angles (deg): 90.00 90.00 90.00
Space group P4/mmm (No. 123)
Symmetry-distinct sites (fractional):
Ta 0.0000 0.0000 0.0000 [1 per cell]
Ir 0.5000 0.5000 0.5000 [1 per cell]
I 0.0000 0.0000 0.5000 [1 per cell]
N 0.0000 0.5000 0.0000 [2 per cell]

#Q
First-principles (PBE-GGA) data for crystalline TaIrIN2 at its relaxed geometry, as listed in the Alexandria database.

Computed properties:
**M_tot**: 3.087 μB per cell

a b c (Å): 3.8248 3.8248 7.6929
angles (deg): 90.00 90.00 90.00
Space group P4/mmm (No. 123)
Symmetry-distinct sites (fractional):
Ta 0.0000 0.0000 0.0000 [1 per cell]
Ir 0.5000 0.5000 0.5000 [1 per cell]
I 0.5000 0.5000 0.0000 [1 per cell]
N 0.0000 0.5000 0.5000 [2 per cell]

Least stable of them? #Q.

#P
First-principles (PBE-GGA) data for crystalline TcIrI2N at its relaxed geometry, as listed in the Alexandria database.

Computed properties:
**M_tot**: 0.000 μB per cell

a b c (Å): 5.3808 5.3808 3.6750
angles (deg): 90.00 90.00 90.00
Space group P4/mmm (No. 123)
Symmetry-distinct sites (fractional):
Tc 0.0000 0.0000 0.0000 [1 per cell]
Ir 0.5000 0.5000 0.5000 [1 per cell]
I 0.0000 0.5000 0.0000 [2 per cell]
N 0.0000 0.0000 0.5000 [1 per cell]

#Q
First-principles (PBE-GGA) data for crystalline TcIrI2N at its relaxed geometry, as listed in the Alexandria database.

Computed properties:
**M_tot**: 4.368 μB per cell

a b c (Å): 5.6984 5.6984 3.6940
angles (deg): 90.00 90.00 90.00
Space group P4/mmm (No. 123)
Symmetry-distinct sites (fractional):
Tc 0.0000 0.0000 0.0000 [1 per cell]
Ir 0.5000 0.5000 0.5000 [1 per cell]
I 0.0000 0.5000 0.5000 [2 per cell]
N 0.5000 0.5000 0.0000 [1 per cell]

Least stable of them? #P.

#P
First-principles (PBE-GGA) data for crystalline TcIrIN2 at its relaxed geometry, as listed in the Alexandria database.

Computed properties:
**M_tot**: 3.482 μB per cell

a b c (Å): 3.7918 3.7918 7.9355
angles (deg): 90.00 90.00 90.00
Space group P4/mmm (No. 123)
Symmetry-distinct sites (fractional):
Tc 0.0000 0.0000 0.0000 [1 per cell]
Ir 0.5000 0.5000 0.5000 [1 per cell]
I 0.5000 0.5000 0.0000 [1 per cell]
N 0.0000 0.5000 0.5000 [2 per cell]

#Q
First-principles (PBE-GGA) data for crystalline TcIrIN2 at its relaxed geometry, as listed in the Alexandria database.

Computed properties:
**M_tot**: 1.060 μB per cell

a b c (Å): 3.8262 3.8262 5.9276
angles (deg): 90.00 90.00 90.00
Space group P4/mmm (No. 123)
Symmetry-distinct sites (fractional):
Tc 0.0000 0.0000 0.0000 [1 per cell]
Ir 0.5000 0.5000 0.5000 [1 per cell]
I 0.0000 0.0000 0.5000 [1 per cell]
N 0.0000 0.5000 0.0000 [2 per cell]

Least stable of them? #P.